The following is a DFT calculation (PBE-GGA) of crystalline K5Tl4Pt2 at its relaxed geometry.

Geometry as POSCAR:
```
K5Tl4Pt2
1.0
8.5277 0.0000 0.0000
0.0000 4.0750 0.0000
-3.6024 0.0000 11.8105
K Tl Pt
5 4 2
Direct
0.0000 0.0000 0.0000
0.0042 0.0000 0.6446
0.4477 0.0000 0.8272
0.5523 0.0000 0.1728
0.9958 0.0000 0.3554
0.2478 0.5000 0.2369
0.3345 0.5000 0.5549
0.6655 0.5000 0.4451
0.7522 0.5000 0.7631
0.3948 0.0000 0.3908
0.6052 0.0000 0.6092
```

The space group is P2/m, No. 10. The formation energy is -0.117 eV per atom. The value obtained for the density is 5.68 Mg/m³. Its crystal system is monoclinic. As for the total magnetization: 0.00 μB/cell. The total energy is -2.575 eV/atom.



The following is a DFT calculation (PBE-GGA) of crystalline TaNiOs2 at its relaxed geometry.

Geometry as POSCAR:
```
TaNiOs2
1.0
2.7086 0.0000 0.0000
0.0000 4.4158 0.0000
-0.5537 0.0000 4.8885
Ta Ni Os
1 1 2
Direct
0.0000 0.0000 0.0000
0.5000 0.0000 0.5000
0.2987 0.5000 0.7288
0.7013 0.5000 0.2712
```

The space group is P2/m, No. 10. The formation energy is 0.051 eV per atom. The value obtained for the density is 17.61 Mg/m³. Its crystal system is monoclinic. As for the total magnetization: 0.00 μB/cell. The total energy is -9.972 eV/atom.



Q: Which formula does entry 2 have?
A: TaNiOs2



Please write out number 1 again, unchanged.
The following is a DFT calculation (PBE-GGA) of crystalline K5Tl4Pt2 at its relaxed geometry.

Geometry as POSCAR:
```
K5Tl4Pt2
1.0
8.5277 0.0000 0.0000
0.0000 4.0750 0.0000
-3.6024 0.0000 11.8105
K Tl Pt
5 4 2
Direct
0.0000 0.0000 0.0000
0.0042 0.0000 0.6446
0.4477 0.0000 0.8272
0.5523 0.0000 0.1728
0.9958 0.0000 0.3554
0.2478 0.5000 0.2369
0.3345 0.5000 0.5549
0.6655 0.5000 0.4451
0.7522 0.5000 0.7631
0.3948 0.0000 0.3908
0.6052 0.0000 0.6092
```

The space group is P2/m, No. 10. The formation energy is -0.117 eV per atom. The value obtained for the density is 5.68 Mg/m³. Its crystal system is monoclinic. As for the total magnetization: 0.00 μB/cell. The total energy is -2.575 eV/atom.